! PBE with a Hubbard U AlCoP2O, optimized geometry; values from VASP
&SYSTEM
  ibrav = 0, nat = 5, ntyp = 4
/
ATOMIC_SPECIES
Al 26.98 Al.upf
O 16.00 O.upf
P 30.97 P.upf
Co 58.93 Co.upf
CELL_PARAMETERS angstrom
-0.045 2.518 3.908
-0.334 -3.900 2.509
3.397 -0.188 0.160
ATOMIC_POSITIONS crystal
Al 0.500 0.500 0.500
O 0.000 0.000 0.500
P 0.000 0.500 0.000
Co 0.000 0.000 0.000
P 0.500 0.000 0.000
! - symmetry = P4/mmm
! - theoretical density (g/cm³) = 3.7
! - energy above the most stable polymorph in this dataset (eV/f.u.) = 0.535
! - total energy (eV/atom) = -4.7390